[1]
Density functional theory data (meta-GGA SCAN) for a crystal of LaY2Pt relaxed with PBEsol.

Structure (POSCAR):
```
LaY2Pt
1.0
4.365 0.000 0.000
0.000 4.365 0.000
-2.183 -2.183 5.163
La Pt Y
1 1 2
Cartesian
2.183 2.183 0.000
0.000 2.183 2.582
0.000 0.000 0.000
2.183 0.000 2.582
```

## Properties
The total energy is -170.61 eV for the cell shown.

=====

[2]
Density functional theory data (meta-GGA SCAN) for a crystal of LaZn4Pt relaxed with PBEsol.

Structure (POSCAR):
```
LaZn4Pt
1.0
-4.538 -2.266 1.306
-0.073 -3.883 3.514
-2.057 0.804 4.749
La Pt Zn
1 1 4
Cartesian
-5.001 -4.008 7.177
0.000 0.000 0.000
-2.489 -1.995 3.572
-3.532 -1.587 5.979
-4.789 -3.143 4.234
-2.526 -3.963 5.354
```

## Properties
The total energy is -169.54 eV for the cell shown.

=====

[3]
Density functional theory data (meta-GGA SCAN) for a crystal of LaZn3Pt relaxed with PBEsol.

Structure (POSCAR):
```
LaZn3Pt
1.0
-4.090 1.043 2.161
-2.257 -3.124 -2.762
0.816 -3.411 3.191
Zn Pt La
3 1 1
Cartesian
-1.128 -1.562 -1.381
0.408 -1.705 1.596
-2.045 0.522 1.081
0.000 0.000 0.000
-2.765 -2.746 1.295
```

## Properties
The total energy is -156.45 eV for the cell shown.

=====

[4]
Density functional theory data (meta-GGA SCAN) for a crystal of LaZn2Pt2 relaxed with PBEsol.

Structure (POSCAR):
```
LaZn2Pt2
1.0
-2.087 -3.371 0.049
1.129 -0.753 -3.726
5.284 -0.883 3.889
Zn Pt La
2 2 1
Cartesian
2.967 -1.849 -0.838
1.359 -3.158 1.050
3.725 -2.283 1.590
0.600 -2.724 -1.378
0.000 0.000 0.000
```

## Properties
The total energy is -215.29 eV for the cell shown.

=====

[5]
Density functional theory data (meta-GGA SCAN) for a crystal of La2ZrPt relaxed with PBEsol.

Structure (POSCAR):
```
La2ZrPt
1.0
-2.514 -2.643 -2.328
-1.462 -1.819 3.645
-1.815 5.677 -0.463
La Pt Zr
2 1 1
Cartesian
0.000 0.000 0.000
-3.159 0.401 -1.067
-1.988 -2.231 0.658
-2.632 0.813 1.920
```

## Properties
The total energy is -188.30 eV for the cell shown.

=====

[6]
Density functional theory data (meta-GGA SCAN) for a crystal of La2ZrPt relaxed with PBEsol.

Structure (POSCAR):
```
La2ZrPt
1.0
-1.788 -0.790 2.972
-2.834 -3.677 -2.682
6.027 -1.531 1.091
La Pt Zr
2 1 1
Cartesian
1.357 -5.951 1.365
1.210 -2.527 2.186
-2.160 -2.387 0.195
0.090 -3.365 -0.840
```

## Properties
The total energy is -189.37 eV for the cell shown.

=====

[7]
Density functional theory data (meta-GGA SCAN) for a crystal of LaZr2Pt relaxed with PBEsol.

Structure (POSCAR):
```
LaZr2Pt
1.0
-2.101 1.191 2.497
-0.964 -2.090 2.602
6.270 2.383 6.555
La Pt Zr
1 1 2
Cartesian
1.603 0.742 5.827
0.000 0.000 0.000
0.415 0.229 2.656
2.791 1.255 8.998
```

## Properties
The total energy is -175.95 eV for the cell shown.

=====

[8]
Density functional theory data (meta-GGA SCAN) for a crystal of Rb3LaS relaxed with PBEsol.

Structure (POSCAR):
```
Rb3LaS
1.0
-0.701 -5.761 -2.897
6.220 0.166 -1.835
1.704 -2.976 5.506
S Rb La
1 3 1
Cartesian
3.611 -4.286 0.387
3.110 0.083 -0.917
0.852 -1.488 2.753
-0.351 -2.881 -1.449
0.000 0.000 0.000
```

## Properties
The total energy is -111.26 eV for the cell shown. For the uncorrected formation energy, the calculation gives 0.74 eV/atom.